A plane-wave DFT calculation with GGA-PBE was carried out for crystalline CePaZnIr at its relaxed geometry.

Summary:
DOS(E_F) = 1.95 states/eV/atom
Size of the total moment = 2.044 μB/cell
Formation energy from the elements = -8.33 kcal/mol of atoms

Geometry as POSCAR:
```
CePaZnIr
1.0
4.8241 0.0000 0.0000
2.4121 4.1778 0.0000
2.4121 1.3926 3.9389
Ce Zn Pa Ir
1 1 1 1
direct
0.7500 0.7500 0.7500 Ce
0.0000 0.0000 0.0000 Zn
0.5000 0.5000 0.5000 Pa
0.2500 0.2500 0.2500 Ir
```